Entry 1:
# Ni2TePd2

An optimized crystal structure of Ni2TePd2 (PBE, Alexandria via LeMat-Bulk).

Lattice parameters (Å, degrees): 6.376 6.376 3.796 90.00 90.00 90.00
Fractional coordinates of all 10 atoms:
Ni (0.133, 0.367, 0.000)
Ni (0.367, 0.867, 0.000)
Ni (0.633, 0.133, 0.000)
Ni (0.867, 0.633, 0.000)
Te (0.000, 0.000, 0.000)
Te (0.500, 0.500, 0.000)
Pd (0.160, 0.660, 0.500)
Pd (0.340, 0.160, 0.500)
Pd (0.660, 0.840, 0.500)
Pd (0.840, 0.340, 0.500)

Space-group type = P4/mbm
V = 154.3 Å³/cell
Density = 9.85 Mg/m³
Uncorrected energy = -4.997 eV per atom
Crystal system = tetragonal
Distance to the lowest polymorph of the same formula = 0 meV per atom



Entry 2:
# Ni3Te6Pd

An optimized crystal structure of Ni3Te6Pd (PBE, Alexandria via LeMat-Bulk).

Lattice parameters (Å, degrees): 6.448 6.633 6.673 97.22 99.55 109.73
Fractional coordinates of all 10 atoms:
Ni (0.000, 0.000, 0.000)
Ni (0.000, 0.500, 0.000)
Ni (0.500, 0.000, 0.000)
Te (0.105, 0.753, 0.758)
Te (0.319, 0.082, 0.303)
Te (0.415, 0.629, 0.142)
Te (0.585, 0.371, 0.858)
Te (0.681, 0.918, 0.697)
Te (0.895, 0.247, 0.242)
Pd (0.500, 0.500, 0.500)

Space-group type = P-1
V = 259.8 Å³/cell
Density = 6.70 Mg/m³
Uncorrected energy = -4.253 eV per atom
Crystal system = triclinic



Entry 3:
# Ni2Te4Pd

An optimized crystal structure of Ni2Te4Pd (PBE, Alexandria via LeMat-Bulk).

Lattice parameters (Å, degrees): 7.731 7.732 7.737 119.95 119.92 90.00
Fractional coordinates of all 14 atoms:
Ni (0.000, 0.000, 0.000)
Ni (0.000, 0.000, 0.500)
Ni (0.000, 0.500, 0.000)
Ni (0.500, 0.000, 0.500)
Te (0.210, 0.236, 0.972)
Te (0.236, 0.210, 0.472)
Te (0.236, 0.763, 0.472)
Te (0.237, 0.764, 0.028)
Te (0.763, 0.236, 0.972)
Te (0.764, 0.237, 0.528)
Te (0.764, 0.790, 0.528)
Te (0.790, 0.764, 0.028)
Pd (0.375, 0.625, 0.750)
Pd (0.625, 0.375, 0.250)

Space-group type = P-1
V = 327.6 Å³/cell
Density = 7.44 Mg/m³
Uncorrected energy = -4.445 eV per atom
Crystal system = triclinic



Entry 4:
# NiTe3Pd

An optimized crystal structure of NiTe3Pd (PBE, Alexandria via LeMat-Bulk).

Lattice parameters (Å, degrees): 4.985 4.985 4.985 90.00 90.00 90.00
Fractional coordinates of all 5 atoms:
Ni (0.000, 0.000, 0.000)
Te (0.000, 0.000, 0.500)
Te (0.000, 0.500, 0.000)
Te (0.500, 0.000, 0.000)
Pd (0.500, 0.500, 0.500)

Space-group type = Pm-3m
V = 123.9 Å³/cell
Density = 7.35 Mg/m³
Uncorrected energy = -3.592 eV per atom
Crystal system = cubic
Distance to the lowest polymorph of the same formula = 741 meV per atom



Record-wise formation energy from raw total energies values, in eV/atom: 0.021; -0.115; -0.257; 0.488